(1)
# Ti2HgN (PBE, optimized geometry)
# Uncorrected formation energy (eV per atom): -0.99
# D(E_F) (states/eV per atom): 0.64
# Crystal system: trigonal
data_Ti2HgN
_chemical_formula_sum 'Ti6 Hg3 N3'
_cell_length_a 3.0985
_cell_length_b 3.0985
_cell_length_c 20.9371
_cell_angle_alpha 90.00
_cell_angle_beta 90.00
_cell_angle_gamma 120.00
_symmetry_space_group_name_H-M 'R 3 m'
_symmetry_Int_Tables_number 160
_symmetry_space_group_name_Hall 'R 3 -2"'
loop_
_atom_site_label
_atom_site_type_symbol
_atom_site_fract_x
_atom_site_fract_y
_atom_site_fract_z
Ti1 Ti 0.0000 0.0000 0.0000
Ti2 Ti 0.0000 0.0000 0.2295
Hg1 Hg 0.0000 0.0000 0.4475
N1 N 0.0000 0.0000 0.6159

---

(2)
# Ti6Hg2N (PBE, optimized geometry)
# Uncorrected formation energy (eV per atom): 0.01
# D(E_F) (states/eV per atom): 1.23
# Crystal system: trigonal
data_Ti6Hg2N
_chemical_formula_sum 'Ti6 Hg2 N1'
_cell_length_a 6.8289
_cell_length_b 6.8289
_cell_length_c 4.3619
_cell_angle_alpha 90.00
_cell_angle_beta 90.00
_cell_angle_gamma 120.00
_symmetry_space_group_name_H-M 'P -3 1 m'
_symmetry_Int_Tables_number 162
_symmetry_space_group_name_Hall '-P 3 2'
loop_
_atom_site_label
_atom_site_type_symbol
_atom_site_fract_x
_atom_site_fract_y
_atom_site_fract_z
Ti1 Ti 0.0000 0.2523 0.2497
Hg1 Hg 0.3333 0.6667 0.5000
N1 N 0.0000 0.0000 0.0000

---

(3)
# Ti3HgN (PBE, optimized geometry)
# Uncorrected formation energy (eV per atom): 0.03
# D(E_F) (states/eV per atom): 0.75
# Crystal system: tetragonal
data_Ti3HgN
_chemical_formula_sum 'Ti3 Hg1 N1'
_cell_length_a 3.8778
_cell_length_b 3.8778
_cell_length_c 7.4153
_cell_angle_alpha 90.00
_cell_angle_beta 90.00
_cell_angle_gamma 90.00
_symmetry_space_group_name_H-M 'P 4 m m'
_symmetry_Int_Tables_number 99
loop_
_symmetry_equiv_pos_as_xyz
'x,y,z'
'-y,x,z'
'-x,-y,z'
'y,-x,z'
'-x,y,z'
'y,x,z'
'x,-y,z'
'-y,-x,z'
loop_
_atom_site_label
_atom_site_type_symbol
_atom_site_fract_x
_atom_site_fract_y
_atom_site_fract_z
Ti1 Ti 0.0000 0.0000 0.0000
Ti2 Ti 0.0000 0.5000 0.7202
Hg1 Hg 0.0000 0.0000 0.3849
N1 N 0.5000 0.5000 0.6523

---

(4)
# Ti2VHgN (PBE, optimized geometry)
# Uncorrected formation energy (eV per atom): -0.71
# D(E_F) (states/eV per atom): 0.72
# Crystal system: tetragonal
data_Ti2VHgN
_chemical_formula_sum 'Ti2 V1 Hg1 N1'
_cell_length_a 4.2367
_cell_length_b 4.2367
_cell_length_c 3.9286
_cell_angle_alpha 90.00
_cell_angle_beta 90.00
_cell_angle_gamma 90.00
_symmetry_space_group_name_H-M 'P 4/m m m'
_symmetry_Int_Tables_number 123
_symmetry_space_group_name_Hall '-P 4 2'
loop_
_atom_site_label
_atom_site_type_symbol
_atom_site_fract_x
_atom_site_fract_y
_atom_site_fract_z
Ti1 Ti 0.0000 0.5000 0.0000
V1 V 0.0000 0.0000 0.5000
Hg1 Hg 0.5000 0.5000 0.5000
N1 N 0.0000 0.0000 0.0000

---

(5)
# Y2TiHgN (PBE, optimized geometry)
# Uncorrected formation energy (eV per atom): -0.88
# D(E_F) (states/eV per atom): 0.72
# Crystal system: tetragonal
data_Y2TiHgN
_chemical_formula_sum 'Y2 Ti1 Hg1 N1'
_cell_length_a 4.9472
_cell_length_b 4.9472
_cell_length_c 4.0906
_cell_angle_alpha 90.00
_cell_angle_beta 90.00
_cell_angle_gamma 90.00
_symmetry_space_group_name_H-M 'P 4/m m m'
_symmetry_Int_Tables_number 123
_symmetry_space_group_name_Hall '-P 4 2'
loop_
_atom_site_label
_atom_site_type_symbol
_atom_site_fract_x
_atom_site_fract_y
_atom_site_fract_z
Y1 Y 0.0000 0.5000 0.0000
Ti1 Ti 0.0000 0.0000 0.5000
Hg1 Hg 0.5000 0.5000 0.5000
N1 N 0.0000 0.0000 0.0000

---

(6)
# Zr3Ti3Hg2N (PBE, optimized geometry)
# Uncorrected formation energy (eV per atom): -0.24
# D(E_F) (states/eV per atom): 1.12
# Crystal system: hexagonal
data_Zr3Ti3Hg2N
_chemical_formula_sum 'Zr3 Ti3 Hg2 N1'
_cell_length_a 7.4279
_cell_length_b 7.4279
_cell_length_c 3.4236
_cell_angle_alpha 90.00
_cell_angle_beta 90.00
_cell_angle_gamma 120.00
_symmetry_space_group_name_H-M 'P -6 2 m'
_symmetry_Int_Tables_number 189
_symmetry_space_group_name_Hall 'P -6 -2'
loop_
_atom_site_label
_atom_site_type_symbol
_atom_site_fract_x
_atom_site_fract_y
_atom_site_fract_z
Zr1 Zr 0.0000 0.3627 0.0000
Ti1 Ti 0.0000 0.7890 0.5000
Hg1 Hg 0.3333 0.6667 0.5000
N1 N 0.0000 0.0000 0.0000

---

(7)
# ZrTi2HgN (PBE, optimized geometry)
# Uncorrected formation energy (eV per atom): -0.83
# D(E_F) (states/eV per atom): 0.95
# Crystal system: tetragonal
data_ZrTi2HgN
_chemical_formula_sum 'Zr1 Ti2 Hg1 N1'
_cell_length_a 4.2018
_cell_length_b 4.2018
_cell_length_c 4.5163
_cell_angle_alpha 90.00
_cell_angle_beta 90.00
_cell_angle_gamma 90.00
_symmetry_space_group_name_H-M 'P 4/m m m'
_symmetry_Int_Tables_number 123
_symmetry_space_group_name_Hall '-P 4 2'
loop_
_atom_site_label
_atom_site_type_symbol
_atom_site_fract_x
_atom_site_fract_y
_atom_site_fract_z
Zr1 Zr 0.0000 0.0000 0.0000
Ti1 Ti 0.0000 0.5000 0.5000
Hg1 Hg 0.5000 0.5000 0.0000
N1 N 0.0000 0.0000 0.5000

---

(8)
# Tl3Hg2N2 (PBE, optimized geometry)
# Uncorrected formation energy (eV per atom): 0.75
# D(E_F) (states/eV per atom): 0.31
# Crystal system: triclinic
data_Tl3Hg2N2
_chemical_formula_sum 'Tl3 Hg2 N2'
_cell_length_a 3.7208
_cell_length_b 3.7405
_cell_length_c 12.9792
_cell_angle_alpha 94.44
_cell_angle_beta 93.53
_cell_angle_gamma 119.23
_symmetry_space_group_name_H-M 'P -1'
_symmetry_Int_Tables_number 2
loop_
_symmetry_equiv_pos_as_xyz
'x,y,z'
'-x,-y,-z'
loop_
_atom_site_label
_atom_site_type_symbol
_atom_site_fract_x
_atom_site_fract_y
_atom_site_fract_z
Tl1 Tl 0.0000 0.0000 0.0000
Tl2 Tl 0.0961 0.2757 0.3905
Hg1 Hg 0.3925 0.8020 0.2105
N1 N 0.2080 0.6951 0.8907

---

> Which value of uncorrected formation energy does entry 1 give?

-0.99 eV per atom

---

> The lowest D(E_F) belongs to which entry?

Tl3Hg2N2